1.
# Pr3Dy3Sc2

An optimized crystal structure of Pr3Dy3Sc2 (GGA-PBE, Alexandria).

a = 5.015 Å, b = 5.051 Å, c = 9.862 Å
α = 90.00°, β = 90.00°, γ = 90.00°
Positions (direct):
1 Pr 0.000 0.000 0.000
2 Pr 0.000 0.000 0.500
3 Pr 0.500 0.500 0.000
4 Dy 0.000 0.500 0.253
5 Dy 0.000 0.500 0.747
6 Dy 0.500 0.500 0.500
7 Sc 0.500 0.000 0.253
8 Sc 0.500 0.000 0.747

## Properties
* energy of formation: 44.7 meV per atom
* E above lowest polymorph: 0.0 meV per atom

=====

2.
# Pr4Dy4Sc

An optimized crystal structure of Pr4Dy4Sc (GGA-PBE, Alexandria).

a = 8.034 Å, b = 8.034 Å, c = 8.034 Å
α = 95.66°, β = 95.66°, γ = 143.39°
Positions (direct):
1 Pr 0.164 0.164 0.328
2 Pr 0.164 0.836 0.000
3 Pr 0.836 0.164 0.000
4 Pr 0.836 0.836 0.672
5 Dy 0.167 0.500 0.667
6 Dy 0.500 0.167 0.667
7 Dy 0.500 0.833 0.333
8 Dy 0.833 0.500 0.333
9 Sc 0.500 0.500 0.000

## Properties
* energy of formation: 31.3 meV per atom
* E above lowest polymorph: 0.0 meV per atom

=====

3.
# Pr2DySc6

An optimized crystal structure of Pr2DySc6 (GGA-PBE, Alexandria).

a = 9.316 Å, b = 9.316 Å, c = 3.312 Å
α = 90.00°, β = 90.00°, γ = 120.00°
Positions (direct):
1 Pr 0.333 0.667 0.000
2 Pr 0.667 0.333 0.000
3 Dy 0.000 0.000 0.000
4 Sc 0.000 0.331 0.500
5 Sc 0.000 0.669 0.500
6 Sc 0.331 0.000 0.500
7 Sc 0.331 0.331 0.500
8 Sc 0.669 0.000 0.500
9 Sc 0.669 0.669 0.500

## Properties
* energy of formation: 79.7 meV per atom

=====

4.
# Pr4DySc2

An optimized crystal structure of Pr4DySc2 (GGA-PBE, Alexandria).

a = 8.798 Å, b = 6.539 Å, c = 8.975 Å
α = 90.00°, β = 118.27°, γ = 90.00°
Positions (direct):
1 Pr 0.005 0.250 0.064
2 Pr 0.061 0.750 0.343
3 Pr 0.415 0.505 0.266
4 Pr 0.415 0.995 0.266
5 Pr 0.585 0.005 0.734
6 Pr 0.585 0.495 0.734
7 Pr 0.939 0.250 0.657
8 Pr 0.995 0.750 0.936
9 Dy 0.251 0.750 0.773
10 Dy 0.749 0.250 0.227
11 Sc 0.200 0.250 0.496
12 Sc 0.356 0.250 0.913
13 Sc 0.644 0.750 0.087
14 Sc 0.800 0.750 0.504

## Properties
* energy of formation: 182.9 meV per atom
* E above lowest polymorph: 0.0 meV per atom

=====

5.
# Pr5Dy2Sc2

An optimized crystal structure of Pr5Dy2Sc2 (GGA-PBE, Alexandria).

a = 10.176 Å, b = 10.176 Å, c = 8.627 Å
α = 102.50°, β = 102.50°, γ = 19.75°
Positions (direct):
1 Pr 0.000 0.000 0.000
2 Pr 0.217 0.217 0.645
3 Pr 0.338 0.338 0.013
4 Pr 0.662 0.662 0.987
5 Pr 0.783 0.783 0.355
6 Dy 0.055 0.055 0.660
7 Dy 0.945 0.945 0.340
8 Sc 0.404 0.404 0.650
9 Sc 0.596 0.596 0.350

## Properties
* energy of formation: 114.5 meV per atom
* E above lowest polymorph: 0.0 meV per atom

=====

6.
# Pr5Dy2Sc

An optimized crystal structure of Pr5Dy2Sc (GGA-PBE, Alexandria).

a = 3.601 Å, b = 8.895 Å, c = 8.906 Å
α = 78.27°, β = 78.42°, γ = 78.37°
Positions (direct):
1 Pr 0.000 0.000 0.000
2 Pr 0.371 0.401 0.858
3 Pr 0.371 0.857 0.401
4 Pr 0.629 0.143 0.599
5 Pr 0.629 0.599 0.142
6 Dy 0.254 0.245 0.245
7 Dy 0.746 0.755 0.755
8 Sc 0.000 0.500 0.500

## Properties
* energy of formation: 56.9 meV per atom

=====

7.
# Pr2DySc4

An optimized crystal structure of Pr2DySc4 (GGA-PBE, Alexandria).

a = 8.518 Å, b = 8.518 Å, c = 10.869 Å
α = 129.45°, β = 129.45°, γ = 45.21°
Positions (direct):
1 Pr 0.000 0.000 0.000
2 Pr 0.351 0.092 0.455
3 Pr 0.908 0.649 0.545
4 Pr 0.991 0.009 0.500
5 Dy 0.348 0.100 0.986
6 Dy 0.900 0.652 0.014
7 Sc 0.318 0.403 0.358
8 Sc 0.339 0.657 0.249
9 Sc 0.343 0.661 0.751
10 Sc 0.373 0.339 0.858
11 Sc 0.597 0.682 0.642
12 Sc 0.661 0.627 0.142
13 Sc 0.764 0.230 0.244
14 Sc 0.770 0.236 0.756

## Properties
* energy of formation: 194.5 meV per atom

=====

8.
# PrDy9Sc2

An optimized crystal structure of PrDy9Sc2 (GGA-PBE, Alexandria).

a = 11.078 Å, b = 11.078 Å, c = 3.483 Å
α = 90.00°, β = 90.00°, γ = 120.00°
Positions (direct):
1 Pr 0.000 0.000 0.000
2 Dy 0.000 0.500 0.000
3 Dy 0.181 0.362 0.500
4 Dy 0.181 0.819 0.500
5 Dy 0.362 0.181 0.500
6 Dy 0.500 0.000 0.000
7 Dy 0.500 0.500 0.000
8 Dy 0.638 0.819 0.500
9 Dy 0.819 0.181 0.500
10 Dy 0.819 0.638 0.500
11 Sc 0.333 0.667 0.000
12 Sc 0.667 0.333 0.000

## Properties
* energy of formation: 31.3 meV per atom
* E above lowest polymorph: 0.0 meV per atom

=====

9.
# Pr7Dy3Sc

An optimized crystal structure of Pr7Dy3Sc (GGA-PBE, Alexandria).

a = 8.606 Å, b = 8.606 Å, c = 5.885 Å
α = 109.97°, β = 109.97°, γ = 83.67°
Positions (direct):
1 Pr 0.000 0.000 0.000
2 Pr 0.098 0.524 0.311
3 Pr 0.286 0.286 0.787
4 Pr 0.476 0.902 0.689
5 Pr 0.524 0.098 0.311
6 Pr 0.714 0.714 0.213
7 Pr 0.902 0.476 0.689
8 Dy 0.297 0.703 0.000
9 Dy 0.500 0.500 0.500
10 Dy 0.703 0.297 0.000
11 Sc 0.000 0.000 0.500

## Properties
* energy of formation: 219.8 meV per atom
* E above lowest polymorph: 27.2 meV per atom

=====

10.
# Pr2DySc2

An optimized crystal structure of Pr2DySc2 (GGA-PBE, Alexandria).

a = 6.447 Å, b = 6.447 Å, c = 7.515 Å
α = 90.32°, β = 90.32°, γ = 92.81°
Positions (direct):
1 Pr 0.097 0.246 0.046
2 Pr 0.246 0.097 0.546
3 Pr 0.754 0.903 0.454
4 Pr 0.903 0.754 0.954
5 Dy 0.397 0.603 0.750
6 Dy 0.603 0.397 0.250
7 Sc 0.133 0.593 0.362
8 Sc 0.407 0.867 0.138
9 Sc 0.593 0.133 0.862
10 Sc 0.867 0.407 0.638

## Properties
* energy of formation: 169.4 meV per atom
* E above lowest polymorph: 0.0 meV per atom

=====

11.
# Pr4Dy10Sc

An optimized crystal structure of Pr4Dy10Sc (GGA-PBE, Alexandria).

a = 8.927 Å, b = 8.927 Å, c = 8.927 Å
α = 100.92°, β = 100.92°, γ = 128.41°
Positions (direct):
1 Pr 0.229 0.229 0.458
2 Pr 0.229 0.771 0.000
3 Pr 0.771 0.229 0.000
4 Pr 0.771 0.771 0.542
5 Dy 0.081 0.288 0.793
6 Dy 0.250 0.750 0.500
7 Dy 0.288 0.081 0.793
8 Dy 0.288 0.495 0.207
9 Dy 0.495 0.288 0.207
10 Dy 0.505 0.712 0.793
11 Dy 0.712 0.505 0.793
12 Dy 0.712 0.919 0.207
13 Dy 0.750 0.250 0.500
14 Dy 0.919 0.712 0.207
15 Sc 0.000 0.000 0.000

## Properties
* energy of formation: 255.2 meV per atom

=====

12.
# Pr4DySc2

An optimized crystal structure of Pr4DySc2 (GGA-PBE, Alexandria).

a = 11.919 Å, b = 11.919 Å, c = 11.919 Å
α = 147.23°, β = 44.98°, γ = 150.06°
Positions (direct):
1 Pr 0.086 0.096 0.183
2 Pr 0.134 0.603 0.738
3 Pr 0.366 0.103 0.469
4 Pr 0.414 0.596 0.010
5 Pr 0.586 0.404 0.990
6 Pr 0.634 0.897 0.531
7 Pr 0.866 0.397 0.262
8 Pr 0.914 0.904 0.817
9 Dy 0.250 0.750 0.500
10 Dy 0.750 0.250 0.500
11 Sc 0.242 0.881 0.123
12 Sc 0.258 0.381 0.639
13 Sc 0.742 0.619 0.361
14 Sc 0.758 0.119 0.877

## Properties
* energy of formation: 249.9 meV per atom
* E above lowest polymorph: 66.9 meV per atom

=====

13.
# Pr2Dy5Sc12

An optimized crystal structure of Pr2Dy5Sc12 (GGA-PBE, Alexandria).

a = 8.683 Å, b = 8.683 Å, c = 8.146 Å
α = 91.97°, β = 91.97°, γ = 59.81°
Positions (direct):
1 Pr 0.196 0.804 0.000
2 Pr 0.804 0.196 0.000
3 Dy 0.201 0.201 0.002
4 Dy 0.263 0.263 0.419
5 Dy 0.500 0.500 0.500
6 Dy 0.737 0.737 0.581
7 Dy 0.799 0.799 0.998
8 Sc 0.052 0.052 0.332
9 Sc 0.063 0.684 0.352
10 Sc 0.166 0.523 0.747
11 Sc 0.316 0.937 0.648
12 Sc 0.406 0.406 0.119
13 Sc 0.477 0.834 0.253
14 Sc 0.523 0.166 0.747
15 Sc 0.594 0.594 0.881
16 Sc 0.684 0.063 0.352
17 Sc 0.834 0.477 0.253
18 Sc 0.937 0.316 0.648
19 Sc 0.948 0.948 0.668

## Properties
* energy of formation: 143.8 meV per atom

=====

14.
# PrDy4Sc4

An optimized crystal structure of PrDy4Sc4 (GGA-PBE, Alexandria).

a = 7.694 Å, b = 7.694 Å, c = 7.694 Å
α = 95.64°, β = 95.64°, γ = 143.45°
Positions (direct):
1 Pr 0.000 0.000 0.000
2 Dy 0.000 0.330 0.330
3 Dy 0.000 0.670 0.670
4 Dy 0.330 0.000 0.330
5 Dy 0.670 0.000 0.670
6 Sc 0.332 0.332 0.663
7 Sc 0.332 0.668 0.000
8 Sc 0.668 0.332 0.000
9 Sc 0.668 0.668 0.337

## Properties
* energy of formation: 56.6 meV per atom

=====

15.
# Pr6Dy3Sc2

An optimized crystal structure of Pr6Dy3Sc2 (GGA-PBE, Alexandria).

a = 6.243 Å, b = 6.243 Å, c = 11.342 Å
α = 95.27°, β = 95.27°, γ = 120.08°
Positions (direct):
1 Pr 0.079 0.410 0.236
2 Pr 0.252 0.252 0.764
3 Pr 0.410 0.079 0.236
4 Pr 0.590 0.921 0.764
5 Pr 0.748 0.748 0.236
6 Pr 0.921 0.590 0.764
7 Dy 0.167 0.833 0.500
8 Dy 0.500 0.500 0.500
9 Dy 0.833 0.167 0.500
10 Sc 0.333 0.667 0.000
11 Sc 0.667 0.333 0.000

## Properties
* energy of formation: 191.0 meV per atom

=====

16.
# Pr4Dy4Sc

An optimized crystal structure of Pr4Dy4Sc (GGA-PBE, Alexandria).

a = 12.387 Å, b = 12.387 Å, c = 12.387 Å
α = 155.22°, β = 155.22°, γ = 35.33°
Positions (direct):
1 Pr 0.126 0.126 0.507
2 Pr 0.380 0.874 0.000
3 Pr 0.620 0.620 0.493
4 Pr 0.874 0.380 0.000
5 Dy 0.000 0.500 0.500
6 Dy 0.247 0.247 0.000
7 Dy 0.500 0.000 0.500
8 Dy 0.753 0.753 0.000
9 Sc 0.500 0.500 0.000

## Properties
* energy of formation: 633.8 meV per atom
* E above lowest polymorph: 602.6 meV per atom

=====

17.
# Pr8Dy2Sc

An optimized crystal structure of Pr8Dy2Sc (GGA-PBE, Alexandria).

a = 9.614 Å, b = 9.614 Å, c = 9.614 Å
α = 145.00°, β = 130.74°, γ = 61.85°
Positions (direct):
1 Pr 0.161 0.369 0.791
2 Pr 0.168 0.168 0.000
3 Pr 0.280 0.000 0.280
4 Pr 0.422 0.631 0.791
5 Pr 0.578 0.369 0.209
6 Pr 0.720 0.000 0.720
7 Pr 0.832 0.832 0.000
8 Pr 0.839 0.631 0.209
9 Dy 0.301 0.801 0.500
10 Dy 0.699 0.199 0.500
11 Sc 0.000 0.500 0.500

## Properties
* energy of formation: 111.6 meV per atom
* E above lowest polymorph: 0.0 meV per atom

=====

18.
# PrDy2Sc

An optimized crystal structure of PrDy2Sc (GGA-PBE, Alexandria).

a = 6.057 Å, b = 6.057 Å, c = 6.075 Å
α = 99.90°, β = 99.90°, γ = 33.90°
Positions (direct):
1 Pr 0.000 0.000 0.000
2 Dy 0.245 0.245 0.746
3 Dy 0.491 0.491 0.492
4 Sc 0.746 0.746 0.248

## Properties
* energy of formation: 43.6 meV per atom
* E above lowest polymorph: 0.0 meV per atom

=====

19.
# PrDy2Sc

An optimized crystal structure of PrDy2Sc (GGA-PBE, Alexandria).

a = 4.939 Å, b = 4.939 Å, c = 5.032 Å
α = 90.00°, β = 90.00°, γ = 90.00°
Positions (direct):
1 Pr 0.000 0.000 0.000
2 Dy 0.000 0.500 0.500
3 Dy 0.500 0.000 0.500
4 Sc 0.500 0.500 0.000

## Properties
* energy of formation: 43.9 meV per atom
* E above lowest polymorph: 0.4 meV per atom

=====

20.
# Pr6DySc2

An optimized crystal structure of Pr6DySc2 (GGA-PBE, Alexandria).

a = 10.164 Å, b = 10.164 Å, c = 10.013 Å
α = 119.18°, β = 119.18°, γ = 19.55°
Positions (direct):
1 Pr 0.003 0.003 0.172
2 Pr 0.181 0.181 0.831
3 Pr 0.336 0.336 0.518
4 Pr 0.664 0.664 0.482
5 Pr 0.819 0.819 0.169
6 Pr 0.997 0.997 0.828
7 Dy 0.000 0.000 0.500
8 Sc 0.166 0.166 0.166
9 Sc 0.834 0.834 0.834

## Properties
* energy of formation: 196.2 meV per atom